Record 1
BaNa2InGa GGA-PBE relaxed; total magnetic moment = 0.32 μB per cell; D(E_F) = 3.46 states/eV/f.u.; formation energy from the elements = 0.04 eV/atom
1.0
5.814 0.000 0.000
0.000 5.318 0.000
0.000 0.000 5.814
Ga Na Ba In
1 2 1 1
direct
0.000 0.500 0.000
0.500 0.000 0.000
0.000 0.000 0.500
0.500 0.500 0.500
0.000 0.000 0.000

---

Record 2
BaNdInGa GGA-PBE relaxed; total magnetic moment = 0.00 μB per cell; D(E_F) = 5.39 states/eV/f.u.; formation energy from the elements = -0.30 eV/atom
1.0
-3.486 -4.251 -1.263
1.597 -5.329 0.933
-2.418 -2.987 4.130
In Ga Nd Ba
1 1 1 1
direct
0.250 0.250 0.250
0.750 0.750 0.750
0.500 0.500 0.500
0.000 0.000 0.000

---

Record 3
Ba2InGaNi GGA-PBE relaxed; total magnetic moment = 0.00 μB per cell; D(E_F) = 4.46 states/eV/f.u.; formation energy from the elements = -0.21 eV/atom
1.0
-2.439 3.994 3.770
-4.022 1.510 -4.202
-2.884 -3.261 1.588
Ga In Ni Ba
1 1 1 2
direct
0.000 0.000 0.500
0.500 0.500 0.500
0.000 0.000 0.000
0.000 0.500 0.000
0.500 0.000 0.000

---

Record 4
BaIn2GaNi GGA-PBE relaxed; total magnetic moment = 0.00 μB per cell; D(E_F) = 3.91 states/eV/f.u.; formation energy from the elements = -0.26 eV/atom
1.0
5.110 0.000 0.000
0.000 5.110 0.000
0.000 0.000 4.867
In Ga Ba Ni
2 1 1 1
direct
0.000 0.500 0.000
0.500 0.000 0.000
0.000 0.000 0.500
0.500 0.500 0.500
0.000 0.000 0.000

---

Record 5
Ba2In6GaNi GGA-PBE relaxed; total magnetic moment = 0.00 μB per cell; D(E_F) = 5.33 states/eV/f.u.; formation energy from the elements = -0.24 eV/atom
1.0
-0.902 2.307 -6.643
-2.466 -7.154 -2.147
-6.377 -0.271 -3.013
Ga In Ba Ni
1 6 2 1
direct
0.500 0.500 0.000
0.760 0.837 0.918
0.241 0.166 0.517
0.240 0.163 0.082
0.759 0.834 0.483
0.322 0.837 0.917
0.678 0.163 0.083
0.790 0.370 0.421
0.210 0.630 0.579
0.000 0.000 0.000

---

Record 6
Ba3InGa2O8 GGA-PBE relaxed; total magnetic moment = 0.89 μB per cell; D(E_F) = 12.11 states/eV/f.u.; formation energy from raw total energies = -2.07 eV/atom
1.0
-3.592 1.662 -4.397
1.123 -5.739 0.893
-5.970 -0.434 4.713
Ba Ga O In
3 2 8 1
direct
0.333 0.667 0.655
0.667 0.333 0.345
0.000 0.000 0.000
0.333 0.667 0.223
0.667 0.333 0.777
0.834 0.166 0.679
0.333 0.667 0.986
0.667 0.333 0.014
0.166 0.834 0.321
0.166 0.332 0.321
0.834 0.668 0.679
0.668 0.834 0.321
0.332 0.166 0.679
0.000 0.000 0.500

---

Record 7
Ba2InGa2O6 GGA-PBE relaxed; total magnetic moment = 0.00 μB per cell; D(E_F) = 1.63 states/eV/f.u.; formation energy from raw total energies = -1.93 eV/atom
1.0
6.030 0.000 0.000
3.015 5.222 0.000
3.015 1.741 5.878
O Ba Ga In
6 2 2 1
direct
0.241 0.241 0.755
0.759 0.236 0.245
0.759 0.759 0.245
0.764 0.241 0.755
0.241 0.764 0.755
0.236 0.759 0.245
0.786 0.786 0.642
0.214 0.214 0.358
0.572 0.572 0.285
0.428 0.428 0.715
0.000 0.000 0.000

---

Record 8
BaInGaO4 GGA-PBE relaxed; total magnetic moment = 0.00 μB per cell; D(E_F) = 0.00 states/eV/f.u.; formation energy from raw total energies = -1.93 eV/atom
1.0
5.702 0.000 -0.008
0.000 5.836 0.000
-2.247 0.000 6.824
O Ga Ba In
8 2 2 2
direct
0.512 0.750 0.576
0.452 0.750 0.168
0.978 0.481 0.692
0.978 0.019 0.692
0.548 0.250 0.832
0.488 0.250 0.424
0.022 0.519 0.308
0.022 0.981 0.308
0.732 0.250 0.660
0.268 0.750 0.340
0.281 0.250 0.061
0.719 0.750 0.939
0.817 0.750 0.462
0.183 0.250 0.538

---

> Which formula does entry 8 have?

BaInGaO4

---

What did the third record say?
Ba2InGaNi GGA-PBE relaxed; total magnetic moment = 0.00 μB per cell; D(E_F) = 4.46 states/eV/f.u.; formation energy from the elements = -0.21 eV/atom
1.0
-2.439 3.994 3.770
-4.022 1.510 -4.202
-2.884 -3.261 1.588
Ga In Ni Ba
1 1 1 2
direct
0.000 0.000 0.500
0.500 0.500 0.500
0.000 0.000 0.000
0.000 0.500 0.000
0.500 0.000 0.000

---

> Which value of total magnetic moment does entry 7 give?

0.00 μB per cell

---

> Among the records above, which one has the lowest D(E_F)?

BaInGaO4